Record 1
A relaxed structure of SmFe7B3. Source: the Alexandria database, functional PBE.

The structure in CIF format:
```
data_SmFe7B3
_symmetry_space_group_name_H-M 'R -3 c'
_symmetry_Int_Tables_number 167
_symmetry_space_group_name_Hall '-R 3 2"c'
_cell_length_a 6.7206
_cell_length_b 6.7206
_cell_length_c 18.6975
_cell_angle_alpha 90.00
_cell_angle_beta 90.00
_cell_angle_gamma 120.00
loop_
_atom_site_label
_atom_site_type_symbol
_atom_site_fract_x
_atom_site_fract_y
_atom_site_fract_z
Sm1 Sm 0.0000 0.0000 0.0000
Fe1 Fe 0.0000 0.0000 0.2500
Fe2 Fe 0.0090 0.2182 0.1388
B1 B 0.0000 0.3236 0.2500
```

Energy relative to the elements (meV per atom): -43
Total DFT energy (no corrections) (eV per atom): -7.678


Record 2
A relaxed structure of SmFeB2. Source: the Alexandria database, functional PBE.

The structure in CIF format:
```
data_SmFeB2
_symmetry_space_group_name_H-M 'P n m a'
_symmetry_Int_Tables_number 62
_symmetry_space_group_name_Hall '-P 2ac 2n'
_cell_length_a 6.733
_cell_length_b 3.221
_cell_length_c 9.462
_cell_angle_alpha 90.00
_cell_angle_beta 90.00
_cell_angle_gamma 90.00
loop_
_atom_site_label
_atom_site_type_symbol
_atom_site_fract_x
_atom_site_fract_y
_atom_site_fract_z
Sm1 Sm 0.130 0.250 0.142
Fe1 Fe 0.006 0.750 0.409
B1 B 0.202 0.250 0.849
B2 B 0.223 0.250 0.420
```

Energy relative to the elements (meV per atom): -290
Excess energy over the best structure of this formula in the dataset (eV per atom): 0.000
Total DFT energy (no corrections) (eV per atom): -6.924


Record 3
A relaxed structure of SmFeB3. Source: the Alexandria database, functional PBE.

The structure in CIF format:
```
data_SmFeB3
_symmetry_space_group_name_H-M 'I m m a'
_symmetry_Int_Tables_number 74
_symmetry_space_group_name_Hall '-I 2b 2'
_cell_length_a 3.166
_cell_length_b 4.256
_cell_length_c 17.031
_cell_angle_alpha 90.00
_cell_angle_beta 90.00
_cell_angle_gamma 90.00
loop_
_atom_site_label
_atom_site_type_symbol
_atom_site_fract_x
_atom_site_fract_y
_atom_site_fract_z
Sm1 Sm 0.000 0.250 0.154
Fe1 Fe 0.000 0.250 0.591
B1 B 0.000 0.250 0.471
B2 B 0.000 0.250 0.729
B3 B 0.000 0.250 0.981
```

Energy relative to the elements (meV per atom): 54
Total DFT energy (no corrections) (eV per atom): -6.588


Record 4
A relaxed structure of SmFe2B. Source: the Alexandria database, functional PBE.

The structure in CIF format:
```
data_SmFe2B
_symmetry_space_group_name_H-M 'R -3 m'
_symmetry_Int_Tables_number 166
_symmetry_space_group_name_Hall '-R 3 2"'
_cell_length_a 3.7324
_cell_length_b 3.7324
_cell_length_c 14.9911
_cell_angle_alpha 90.00
_cell_angle_beta 90.00
_cell_angle_gamma 120.00
loop_
_atom_site_label
_atom_site_type_symbol
_atom_site_fract_x
_atom_site_fract_y
_atom_site_fract_z
Sm1 Sm 0.0000 0.0000 0.0000
Fe1 Fe 0.0000 0.0000 0.1867
B1 B 0.0000 0.0000 0.5000
```

Energy relative to the elements (meV per atom): -103
Total DFT energy (no corrections) (eV per atom): -7.183